(1)
Computed, not measured: an optimized crystal structure of LuUNiRu at the PBE level of DFT.

Results
ΔH_f (0 K)	-223	meV/atom
E	-31.757	eV/cell
crystal system	cubic
density of states at the Fermi level	5.7	states/eV/f.u.
SG	F-43m

Cell: 4.726 4.726 4.726 Å, 60.00 60.00 60.00°
Each line ends with the local moment (μB).
Fractional positions:
Ru 0.000 0.000 0.000  -0.15
Lu 0.750 0.750 0.750  0.14
U 0.250 0.250 0.250  2.08
Ni 0.500 0.500 0.500  -0.09

=====

(2)
Computed, not measured: an optimized crystal structure of Nd6HoCd2 at the PBE level of DFT.

Results
ΔH_f (0 K)	-67	meV/atom
E	-71.238	eV/cell
crystal system	monoclinic
density of states at the Fermi level	10.9	states/eV/f.u.
SG	C2/c

Cell: 6.245 9.804 9.804 Å, 73.41 85.38 85.38°
Fractional positions:
Nd 0.491 0.684 0.429
Nd 0.009 0.571 0.316
Nd 0.509 0.316 0.571
Nd 0.991 0.429 0.684
Nd 0.663 0.096 0.351
Nd 0.837 0.649 0.904
Nd 0.337 0.904 0.649
Nd 0.163 0.351 0.096
Nd 0.314 0.733 0.033
Nd 0.186 0.967 0.267
Nd 0.686 0.267 0.967
Nd 0.814 0.033 0.733
Ho 0.250 0.102 0.898
Ho 0.750 0.898 0.102
Cd 0.408 0.542 0.787
Cd 0.092 0.213 0.458
Cd 0.592 0.458 0.213
Cd 0.908 0.787 0.542

=====

(3)
Computed, not measured: an optimized crystal structure of LiCaHoSn at the PBE level of DFT.

Results
ΔH_f (0 K)	-402	meV/atom
E	-14.103	eV/cell
crystal system	cubic
density of states at the Fermi level	2.2	states/eV/f.u.
SG	F-43m

Cell: 5.282 5.282 5.282 Å, 60.00 60.00 60.00°
Fractional positions:
Ca 0.000 0.000 0.000
Li 0.750 0.750 0.750
Ho 0.500 0.500 0.500
Sn 0.250 0.250 0.250

=====

(4)
Computed, not measured: an optimized crystal structure of Sc2SiRu at the PBE level of DFT.

Results
E	-29.930	eV/cell
crystal system	tetragonal
density of states at the Fermi level	1.4	states/eV/f.u.
SG	P4/mmm

Cell: 3.386 4.473 4.473 Å, 90.00 90.00 90.00°
Fractional positions:
Sc 0.000 0.000 0.500
Sc 0.000 0.500 0.000
Ru 0.500 0.000 0.000
Si 0.500 0.500 0.500

=====

Please write out number 2 again, unchanged.
Computed, not measured: an optimized crystal structure of Nd6HoCd2 at the PBE level of DFT.

Results
ΔH_f (0 K)	-67	meV/atom
E	-71.238	eV/cell
crystal system	monoclinic
density of states at the Fermi level	10.9	states/eV/f.u.
SG	C2/c

Cell: 6.245 9.804 9.804 Å, 73.41 85.38 85.38°
Fractional positions:
Nd 0.491 0.684 0.429
Nd 0.009 0.571 0.316
Nd 0.509 0.316 0.571
Nd 0.991 0.429 0.684
Nd 0.663 0.096 0.351
Nd 0.837 0.649 0.904
Nd 0.337 0.904 0.649
Nd 0.163 0.351 0.096
Nd 0.314 0.733 0.033
Nd 0.186 0.967 0.267
Nd 0.686 0.267 0.967
Nd 0.814 0.033 0.733
Ho 0.250 0.102 0.898
Ho 0.750 0.898 0.102
Cd 0.408 0.542 0.787
Cd 0.092 0.213 0.458
Cd 0.592 0.458 0.213
Cd 0.908 0.787 0.542

=====

Look up the E of the first one. -31.757 eV/cell